[1]
{
  "formula": "Li2P",
  "functional": "PBEsol",
  "state": "relaxed",
  "dft_energy_ev_per_atom": -3.75,
  "polymorph_energy_ev_per_atom": 0.062,
  "n_ef_per_ev_cell": 0.83,
  "e_form_ev_per_atom": -0.506,
  "lattice_angstrom": [[2.655, 0.000, 0.000], [0.000, 4.094, 0.000], [0.000, -2.047, 3.546]],
  "species": ["P", "Li", "Li"],
  "fractional_positions": [[0.500, 0.000, 0.000], [0.000, 0.333, 0.667], [0.000, 0.667, 0.333]]
}

[2]
{
  "formula": "Li3P7",
  "functional": "PBEsol",
  "state": "relaxed",
  "dft_energy_ev_per_atom": -4.99,
  "n_ef_per_ev_cell": 0.00,
  "e_form_ev_per_atom": -0.341,
  "lattice_angstrom": [[-4.279, -5.901, -1.913], [3.238, 0.597, -9.083], [7.794, -6.416, 2.357]],
  "species": ["Li", "Li", "Li", "Li", "Li", "Li", "Li", "Li", "Li", "Li", "Li", "Li", "P", "P", "P", "P", "P", "P", "P", "P", "P", "P", "P", "P", "P", "P", "P", "P", "P", "P", "P", "P", "P", "P", "P", "P", "P", "P", "P", "P"],
  "fractional_positions": [[0.907, 0.697, 0.804], [0.407, 0.803, 0.196], [0.593, 0.303, 0.304], [0.093, 0.197, 0.696], [0.074, 0.977, 0.488], [0.574, 0.523, 0.512], [0.426, 0.023, 0.988], [0.926, 0.477, 0.012], [0.355, 0.687, 0.682], [0.855, 0.813, 0.318], [0.145, 0.313, 0.182], [0.645, 0.187, 0.818], [0.465, 0.927, 0.769], [0.965, 0.573, 0.231], [0.035, 0.073, 0.269], [0.535, 0.427, 0.731], [0.628, 0.779, 0.503], [0.128, 0.721, 0.497], [0.872, 0.221, 0.003], [0.372, 0.279, 0.997], [0.817, 0.074, 0.618], [0.317, 0.426, 0.382], [0.683, 0.926, 0.118], [0.183, 0.574, 0.882], [0.719, 0.874, 0.682], [0.219, 0.626, 0.318], [0.781, 0.126, 0.182], [0.281, 0.374, 0.818], [0.361, 0.050, 0.614], [0.861, 0.450, 0.386], [0.139, 0.950, 0.114], [0.639, 0.550, 0.886], [0.463, 0.943, 0.432], [0.963, 0.557, 0.568], [0.037, 0.057, 0.932], [0.537, 0.443, 0.068], [0.593, 0.137, 0.504], [0.093, 0.363, 0.496], [0.907, 0.863, 0.004], [0.407, 0.637, 0.996]]
}

[3]
{
  "formula": "LiP5",
  "functional": "PBEsol",
  "state": "relaxed",
  "dft_energy_ev_per_atom": -5.26,
  "e_form_ev_per_atom": -0.109,
  "lattice_angstrom": [[5.989, 0.000, 0.000], [0.000, 7.956, 0.000], [0.000, 0.000, 9.309]],
  "species": ["Li", "Li", "Li", "Li", "P", "P", "P", "P", "P", "P", "P", "P", "P", "P", "P", "P", "P", "P", "P", "P", "P", "P", "P", "P"],
  "fractional_positions": [[0.772, 0.374, 0.634], [0.772, 0.126, 0.134], [0.272, 0.874, 0.866], [0.272, 0.626, 0.366], [0.851, 0.491, 0.886], [0.851, 0.009, 0.386], [0.714, 0.436, 0.106], [0.941, 0.849, 0.058], [0.704, 0.749, 0.398], [0.941, 0.651, 0.558], [0.704, 0.751, 0.898], [0.714, 0.064, 0.606], [0.400, 0.354, 0.786], [0.400, 0.146, 0.286], [0.351, 0.991, 0.614], [0.351, 0.509, 0.114], [0.204, 0.249, 0.102], [0.214, 0.564, 0.894], [0.441, 0.151, 0.942], [0.204, 0.251, 0.602], [0.214, 0.936, 0.394], [0.441, 0.349, 0.442], [0.900, 0.854, 0.714], [0.900, 0.646, 0.214]]
}

[4]
{
  "formula": "Li3PPb",
  "functional": "PBEsol",
  "state": "relaxed",
  "dft_energy_ev_per_atom": -3.36,
  "n_ef_per_ev_cell": 2.51,
  "e_form_ev_per_atom": -0.223,
  "lattice_angstrom": [[-2.555, 2.620, 2.836], [2.716, -1.197, 3.553], [2.744, 3.625, -0.876]],
  "species": ["Pb", "P", "Li", "Li", "Li"],
  "fractional_positions": [[0.500, 0.500, 0.500], [0.000, 0.000, 0.000], [0.000, 0.500, 0.000], [0.000, 0.000, 0.500], [0.500, 0.000, 0.000]]
}

| no. | spin magnetization (μB per formula unit) |
| --- | --- |
| 1 | 0.00 |
| 2 | 0.00 |
| 3 | 0.00 |
| 4 | 0.00 |